PBE+U K2Rb3WO6, optimized geometry; total moment = 1.07 μB per cell; raw total energy = -0.18912 Ha/atom; space group = C2/m, No. 12
1.0
6.545 0.021 -0.005
-3.252 5.680 -0.005
-1.102 -1.908 6.213
K Rb W O
2 3 1 6
Cartesian
0.016 3.792 -0.005 K
3.276 1.909 -0.005 K
-2.145 3.768 3.101 Rb
4.335 0.025 3.101 Rb
1.095 1.896 3.101 Rb
0.000 0.000 0.000 W
2.997 2.394 5.061 O
2.487 4.306 1.132 O
-0.807 1.399 1.142 O
0.575 3.792 5.061 O
-0.296 -0.513 5.070 O
1.615 0.000 1.142 O